Record 1
First-principles (GGA-PBE) data for a relaxed CdIn2SnH crystal, as listed in Alexandria.

Unit cell a=4.752 b=4.752 c=4.865 alpha=90.00 beta=90.00 gamma=90.00
Element x y z (fractional)
H: 0.000 0.000 0.000
Cd: 0.000 0.000 0.500
Sn: 0.500 0.500 0.500
In: 0.000 0.500 0.000
In: 0.500 0.000 0.000

Output
Spin magnetization   0.00 μB/f.u.
Space group   P4/mmm
Total energy   -2.531 eV/atom
Calculated volume   109.8 Å³ per cell



Record 2
First-principles (GGA-PBE) data for a relaxed TaCdInH crystal, as listed in Alexandria.

Unit cell a=7.711 b=3.239 c=5.491 alpha=90.00 beta=89.99 gamma=90.00
Element x y z (fractional)
H: 0.302 0.000 0.521
H: 0.302 0.500 0.021
Cd: 0.588 0.000 0.191
Cd: 0.588 0.500 0.691
In: 0.953 0.000 0.191
In: 0.953 0.500 0.691
Ta: 0.268 0.000 0.857
Ta: 0.268 0.500 0.357

Output
Spin magnetization   0.00 μB/f.u.
Space group   Cm
Total energy   -4.657 eV/atom
Calculated volume   137.1 Å³ per cell



Record 3
First-principles (GGA-PBE) data for a relaxed TaCdInH crystal, as listed in Alexandria.

Unit cell a=4.369 b=3.081 c=5.423 alpha=90.00 beta=113.75 gamma=90.00
Element x y z (fractional)
Ta: 0.852 0.500 0.837
Cd: 0.176 0.000 0.486
In: 0.476 0.000 0.085
H: 0.673 0.500 0.481

Output
Spin magnetization   0.00 μB/f.u.
Space group   Amm2
Total energy   -4.382 eV/atom
Calculated volume   66.8 Å³ per cell



What did the second record say?
First-principles (GGA-PBE) data for a relaxed TaCdInH crystal, as listed in Alexandria.

Unit cell a=7.711 b=3.239 c=5.491 alpha=90.00 beta=89.99 gamma=90.00
Element x y z (fractional)
H: 0.302 0.000 0.521
H: 0.302 0.500 0.021
Cd: 0.588 0.000 0.191
Cd: 0.588 0.500 0.691
In: 0.953 0.000 0.191
In: 0.953 0.500 0.691
Ta: 0.268 0.000 0.857
Ta: 0.268 0.500 0.357

Output
Spin magnetization   0.00 μB/f.u.
Space group   Cm
Total energy   -4.657 eV/atom
Calculated volume   137.1 Å³ per cell